(1)
# MoAsC2O

MoAsC2O after structural relaxation (PBE+U, the Alexandria database).

## Properties
final energy	-28.400	eV/f.u.
volume	13.38	Å³/atom
density	5.24	g cm⁻³

a b c (Å): 4.2125 4.2125 3.7688
angles (deg): 90.00 90.00 90.00
Space group P4/mmm (No. 123)
Asymmetric unit:
Mo 0.0000 0.0000 0.0000
As 0.5000 0.5000 0.5000
C 0.0000 0.5000 0.0000
O 0.0000 0.0000 0.5000

(2)
# MnAlCoO

MnAlCoO after structural relaxation (PBE+U, the Alexandria database).

## Properties
final energy	-24.006	eV/f.u.
volume	13.12	Å³/atom
density	4.96	g cm⁻³

a b c (Å): 2.9118 3.1192 11.5535
angles (deg): 90.00 90.00 90.00
Space group Imm2 (No. 44)
Asymmetric unit:
Mn 0.0000 0.0000 0.0000
Al 0.0000 0.0000 0.7403
Co 0.0000 0.0000 0.3597
O 0.0000 0.5000 0.1381